<a>
A plane-wave DFT calculation with PBE-GGA was carried out for a relaxed structure of TbTmAlHg.

Lattice parameters (Å, degrees): 7.331 7.331 7.331 90.00 90.00 90.00
Space group F-43m (No. 216)
Asymmetric unit:
Tb 0.000 0.000 0.000
Tm 0.000 0.000 0.500
Al 0.250 0.250 0.250
Hg 0.250 0.250 0.750

Results
Calculated volume (Å³ per atom): 24.6



<b>
A plane-wave DFT calculation with PBE-GGA was carried out for a relaxed structure of TbTmAlHg.

Lattice parameters (Å, degrees): 3.604 3.604 7.484 90.00 90.00 90.00
Space group P4mm (No. 99)
Asymmetric unit:
Tb 0.000 0.000 0.000
Tm 0.000 0.000 0.519
Al 0.500 0.500 0.755
Hg 0.500 0.500 0.273

Results
Calculated volume (Å³ per atom): 24.3



How do the energies compare? Relative to the most stable structure, in kJ/mol of atoms: <a> 3.5; <b> 0.0.



<a>
A plane-wave DFT calculation with PBE-GGA was carried out for a relaxed structure of AlTcHg.

Lattice parameters (Å, degrees): 2.9769 2.9769 6.7431 90.00 90.00 120.00
Space group P3m1 (No. 156)
Asymmetric unit:
Al 0.0000 0.0000 0.0000
Tc 0.3333 0.6667 0.7152
Hg 0.6667 0.3333 0.3606

Results
Calculated volume (Å³ per atom): 17.3



<b>
A plane-wave DFT calculation with PBE-GGA was carried out for a relaxed structure of AlTcHg.

Lattice parameters (Å, degrees): 4.5174 4.5174 2.8191 90.00 90.00 120.00
Space group P3m1 (No. 156)
Asymmetric unit:
Al 0.0000 0.0000 0.0000
Tc 0.3333 0.6667 0.5124
Hg 0.6667 0.3333 0.0134

Results
Calculated volume (Å³ per atom): 16.6



How do the energies compare? Relative to the most stable structure, in kJ/mol of atoms: <a> 0.0; <b> 5.1.



<a>
A plane-wave DFT calculation with PBE-GGA was carried out for a relaxed structure of AlTcHg.

Lattice parameters (Å, degrees): 6.042 6.042 6.042 90.00 90.00 90.00
Space group F-43m (No. 216)
Asymmetric unit:
Al 0.000 0.000 0.000
Tc 0.250 0.250 0.750
Hg 0.250 0.250 0.250

Results
Calculated volume (Å³ per atom): 18.4



<b>
A plane-wave DFT calculation with PBE-GGA was carried out for a relaxed structure of AlTcHg.

Lattice parameters (Å, degrees): 3.126 4.938 13.578 90.00 90.00 90.00
Space group Fmm2 (No. 42)
Asymmetric unit:
Al 0.000 0.000 0.000
Tc 0.000 0.000 0.358
Hg 0.000 0.000 0.680

Results
Calculated volume (Å³ per atom): 17.5



<c>
A plane-wave DFT calculation with PBE-GGA was carried out for a relaxed structure of AlTcHg.

Lattice parameters (Å, degrees): 3.188 3.188 10.049 90.00 90.00 90.00
Space group I4mm (No. 107)
Asymmetric unit:
Al 0.000 0.000 0.000
Tc 0.000 0.000 0.381
Hg 0.000 0.000 0.693

Results
Calculated volume (Å³ per atom): 17.0



How do the energies compare? Relative to the most stable structure, in kJ/mol of atoms: <a> 25.7; <b> 11.8; <c> 0.0.